Record 1
VASP calculation (PBE-GGA) on an optimized crystal structure of Pa6GeSe12.

abc: 8.2429 8.2429 8.2429
angles: 100.52 100.52 100.52
With the nearest neighbours (Å) after each atom.
Fractional coordinates of all 19 atoms:
Pa 0.1283 0.6316 0.8025  7 Se 2.85-3.07
Pa 0.1975 0.8717 0.3684  7 Se 2.85-3.07
Pa 0.3684 0.1975 0.8717  7 Se 2.85-3.07
Pa 0.6316 0.8025 0.1283  7 Se 2.85-3.07
Pa 0.8025 0.1283 0.6316  7 Se 2.85-3.07
Pa 0.8717 0.3684 0.1975  7 Se 2.85-3.07
Ge 0.5000 0.5000 0.5000  6 Se 2.70
Se 0.0670 0.9251 0.6774  4 Pa 2.89-3.00
Se 0.0749 0.3226 0.9330  4 Pa 2.89-3.00
Se 0.1799 0.5449 0.4403  1 Ge 2.70, 2 Pa 2.85-2.88
Se 0.3226 0.9330 0.0749  4 Pa 2.89-3.00
Se 0.4403 0.1799 0.5449  1 Ge 2.70, 2 Pa 2.85-2.88
Se 0.4551 0.5597 0.8201  1 Ge 2.70, 2 Pa 2.85-2.88
Se 0.5449 0.4403 0.1799  1 Ge 2.70, 2 Pa 2.85-2.88
Se 0.5597 0.8201 0.4551  1 Ge 2.70, 2 Pa 2.85-2.88
Se 0.6774 0.0670 0.9251  4 Pa 2.89-3.00
Se 0.8201 0.4551 0.5597  1 Ge 2.70, 2 Pa 2.85-2.88
Se 0.9251 0.6774 0.0670  4 Pa 2.89-3.00
Se 0.9330 0.0749 0.3226  4 Pa 2.89-3.00

Values from the calculation:
raw total energy	-6.61	eV/atom
spin magnetization	8.07	μB/f.u.
density	7.57	Mg/m³

Record 2
VASP calculation (PBE-GGA) on an optimized crystal structure of Er3GaBi2.

abc: 8.6760 8.6760 3.5818
angles: 90.00 90.00 138.55
With the nearest neighbours (Å) after each atom.
Fractional coordinates of all 6 atoms:
Er 0.0000 0.0000 0.0000  2 Ga 3.07, 4 Bi 3.23
Er 0.3611 0.6389 0.5000  2 Ga 2.88, 3 Bi 3.10-3.17
Er 0.6389 0.3611 0.5000  2 Ga 2.88, 3 Bi 3.10-3.17
Ga 0.5000 0.5000 0.0000  6 Er 2.88-3.07
Bi 0.1659 0.8341 0.5000  5 Er 3.10-3.23
Bi 0.8341 0.1659 0.5000  5 Er 3.10-3.23

Values from the calculation:
raw total energy	-4.51	eV/atom
spin magnetization	0.00	μB/f.u.
density	9.21	Mg/m³

Record 3
VASP calculation (PBE-GGA) on an optimized crystal structure of GdZnCuSn.

abc: 4.8288 4.8288 4.8288
angles: 60.00 60.00 60.00
With the nearest neighbours (Å) after each atom.
Fractional coordinates of all 4 atoms:
Gd 0.0000 0.0000 0.0000  4 Cu 2.96, 4 Zn 2.96
Zn 0.2500 0.2500 0.2500  4 Gd 2.96, 4 Sn 2.96
Cu 0.7500 0.7500 0.7500  4 Sn 2.96, 4 Gd 2.96
Sn 0.5000 0.5000 0.5000  4 Cu 2.96, 4 Zn 2.96

Values from the calculation:
raw total energy	-6.18	eV/atom
spin magnetization	6.81	μB/f.u.
density	8.45	Mg/m³

Record 4
VASP calculation (PBE-GGA) on an optimized crystal structure of BaGe2H.

abc: 5.1777 5.1777 5.1777
angles: 60.00 60.00 60.00
With the nearest neighbours (Å) after each atom.
Fractional coordinates of all 4 atoms:
Ba 0.0000 0.0000 0.0000  8 Ge 3.17
Ge 0.2500 0.2500 0.2500  4 Ba 3.17, 4 H 3.17
Ge 0.7500 0.7500 0.7500  4 Ba 3.17, 4 H 3.17
H 0.5000 0.5000 0.5000  8 Ge 3.17

Values from the calculation:
raw total energy	-3.00	eV/atom
spin magnetization	0.00	μB/f.u.
density	4.80	Mg/m³

Record 5
VASP calculation (PBE-GGA) on an optimized crystal structure of TaIrW.

abc: 4.3299 4.3299 4.3299
angles: 60.00 60.00 60.00
With the nearest neighbours (Å) after each atom.
Fractional coordinates of all 3 atoms:
Ta 0.0000 0.0000 0.0000  4 Ir 2.65
Ir 0.7500 0.7500 0.7500  4 Ta 2.65, 4 W 2.65
W 0.5000 0.5000 0.5000  4 Ir 2.65

Values from the calculation:
raw total energy	-10.88	eV/atom
spin magnetization	0.00	μB/f.u.
density	16.11	Mg/m³

Record 6
VASP calculation (PBE-GGA) on an optimized crystal structure of SnBi2Au.

abc: 11.4351 11.4351 11.4351
angles: 17.16 17.16 17.16
With the nearest neighbours (Å) after each atom.
Fractional coordinates of all 4 atoms:
Sn 0.0000 0.0000 0.0000  2 Bi 3.24, 6 Sn 3.41
Bi 0.0959 0.0959 0.0959  3 Au 3.10, 1 Sn 3.24, 6 Bi 3.41
Bi 0.9041 0.9041 0.9041  3 Au 3.10, 1 Sn 3.24, 6 Bi 3.41
Au 0.5000 0.5000 0.5000  6 Bi 3.10, 6 Au 3.41

Values from the calculation:
raw total energy	-3.65	eV/atom
spin magnetization	0.00	μB/f.u.
density	10.73	Mg/m³

Record 7
VASP calculation (PBE-GGA) on an optimized crystal structure of LiS4I.

abc: 5.2389 8.4834 8.7135
angles: 84.28 74.86 86.59
With the nearest neighbours (Å) after each atom.
Fractional coordinates of all 12 atoms:
Li 0.0262 0.2921 0.2546  2 S 2.49-2.69
Li 0.9738 0.7079 0.7454  2 S 2.49-2.69
S 0.0525 0.6277 0.1342  1 S 1.93
S 0.1195 0.4864 0.5722  1 S 1.98
S 0.1767 0.9669 0.9975  1 S 1.89
S 0.2596 0.3649 0.9441  1 S 1.93
S 0.7404 0.6351 0.0559  1 S 1.93
S 0.8233 0.0331 0.0025  1 S 1.89
S 0.8805 0.5136 0.4278  1 S 1.98
S 0.9475 0.3723 0.8658  1 S 1.93
I 0.4866 0.8323 0.6994  2 Li 2.81-2.86, 1 S 2.98
I 0.5134 0.1677 0.3006  2 Li 2.81-2.86, 1 S 2.98

Values from the calculation:
raw total energy	-3.48	eV/atom
spin magnetization	0.00	μB/f.u.
density	2.34	Mg/m³

Record 8
VASP calculation (PBE-GGA) on an optimized crystal structure of Pm2NdPd2.

abc: 5.6422 4.6921 10.6874
angles: 90.00 97.15 90.00
With the nearest neighbours (Å) after each atom.
Fractional coordinates of all 10 atoms:
Pm 0.1113 0.2500 0.3807  5 Pd 2.92-3.10
Pm 0.2445 0.2500 0.0367  4 Pd 2.96-3.04
Pm 0.7555 0.7500 0.9633  4 Pd 2.96-3.04
Pm 0.8887 0.7500 0.6193  5 Pd 2.92-3.10
Nd 0.4038 0.2500 0.7135  5 Pd 3.04-3.09
Nd 0.5962 0.7500 0.2865  5 Pd 3.04-3.09
Pd 0.2401 0.7500 0.8661  5 Pm 2.96-3.10, 2 Nd 3.06
Pd 0.3521 0.7500 0.5243  4 Pm 2.92-3.07, 2 Pd 2.96, 3 Nd 3.04-3.09
Pd 0.6479 0.2500 0.4757  4 Pm 2.92-3.07, 2 Pd 2.96, 3 Nd 3.04-3.09
Pd 0.7599 0.2500 0.1339  5 Pm 2.96-3.10, 2 Nd 3.06

Values from the calculation:
raw total energy	-5.53	eV/atom
spin magnetization	0.00	μB/f.u.
density	7.65	Mg/m³

Record 9
VASP calculation (PBE-GGA) on an optimized crystal structure of TeRh3Se.

abc: 4.6229 4.6229 4.6229
angles: 90.00 90.00 90.00
With the nearest neighbours (Å) after each atom.
Fractional coordinates of all 5 atoms:
Te 0.0000 0.0000 0.0000  12 Rh 3.27
Rh 0.0000 0.5000 0.5000  2 Se 2.31
Rh 0.5000 0.0000 0.5000  2 Se 2.31
Rh 0.5000 0.5000 0.0000  2 Se 2.31
Se 0.5000 0.5000 0.5000  6 Rh 2.31

Values from the calculation:
raw total energy	-5.34	eV/atom
spin magnetization	0.00	μB/f.u.
density	8.66	Mg/m³

Record 10
VASP calculation (PBE-GGA) on an optimized crystal structure of CrRh.

abc: 2.8840 2.8840 6.3038
angles: 90.00 90.00 90.00
With the nearest neighbours (Å) after each atom.
Fractional coordinates of all 4 atoms:
Cr 0.2500 0.2500 0.0954  4 Cr 2.37, 4 Rh 2.58
Cr 0.7500 0.7500 0.9046  4 Cr 2.37, 4 Rh 2.58
Rh 0.2500 0.2500 0.6545  5 Cr 2.58-2.78, 8 Rh 2.82-2.88
Rh 0.7500 0.7500 0.3455  5 Cr 2.58-2.78, 8 Rh 2.82-2.88

Values from the calculation:
raw total energy	-8.42	eV/atom
spin magnetization	0.00	μB/f.u.
density	9.81	Mg/m³

Record 11
VASP calculation (PBE-GGA) on an optimized crystal structure of Cs2AsO4.

abc: 6.6147 6.6760 8.0975
angles: 90.00 113.13 90.00
With the nearest neighbours (Å) after each atom.
Fractional coordinates of all 14 atoms:
Cs 0.1877 0.2500 0.0178  4 O 2.97-3.16
Cs 0.1983 0.7500 0.6099  6 O 2.99-3.29
Cs 0.8017 0.2500 0.3901  6 O 2.99-3.29
Cs 0.8123 0.7500 0.9822  4 O 2.97-3.16
As 0.4677 0.7500 0.2690  4 O 1.70-1.75
As 0.5323 0.2500 0.7310  4 O 1.70-1.75
O 0.2564 0.2500 0.6764  1 As 1.70
O 0.3131 0.7500 0.0399  1 As 1.73
O 0.3766 0.5341 0.3422  1 As 1.75
O 0.3766 0.9659 0.3422  1 As 1.75
O 0.6234 0.0341 0.6578  1 As 1.75
O 0.6234 0.4659 0.6578  1 As 1.75
O 0.6869 0.2500 0.9601  1 As 1.73
O 0.7436 0.7500 0.3236  1 As 1.70

Values from the calculation:
raw total energy	-5.13	eV/atom
spin magnetization	1.09	μB/f.u.
density	4.09	Mg/m³

Record 12
VASP calculation (PBE-GGA) on an optimized crystal structure of Fe3HW.

abc: 6.7370 6.7370 6.7370
angles: 60.00 60.00 60.00
With the nearest neighbours (Å) after each atom.
Fractional coordinates of all 20 atoms:
Fe 0.0629 0.0629 0.6871  2 H 1.79
Fe 0.0629 0.6871 0.0629  2 H 1.79
Fe 0.0629 0.6871 0.6871  2 H 1.79
Fe 0.3129 0.3129 0.9371  2 H 1.79
Fe 0.3129 0.9371 0.3129  2 H 1.79
Fe 0.3129 0.9371 0.9371  2 H 1.79
Fe 0.6871 0.0629 0.0629  2 H 1.79
Fe 0.6871 0.0629 0.6871  2 H 1.79
Fe 0.6871 0.6871 0.0629  2 H 1.79
Fe 0.9371 0.3129 0.3129  2 H 1.79
Fe 0.9371 0.3129 0.9371  2 H 1.79
Fe 0.9371 0.9371 0.3129  2 H 1.79
H 0.0000 0.0000 0.0000  6 Fe 1.79
H 0.0000 0.0000 0.5000  6 Fe 1.79
H 0.0000 0.5000 0.0000  6 Fe 1.79
H 0.5000 0.0000 0.0000  6 Fe 1.79
W 0.0000 0.5000 0.5000  6 Fe 2.45
W 0.5000 0.0000 0.5000  6 Fe 2.45
W 0.5000 0.5000 0.0000  6 Fe 2.45
W 0.5000 0.5000 0.5000  6 Fe 2.45

Values from the calculation:
raw total energy	-7.91	eV/atom
spin magnetization	2.68	μB/f.u.
density	10.83	Mg/m³